Entry 1:
Entry from Alexandria: a geometry-optimized FeReSe2 structure (PBE).

Computed properties:
Space-group type: Cm

Lattice parameters (Å, degrees): 4.2893 4.2893 6.5674 98.44 98.44 43.47
Element x y z (fractional)
Fe 0.0000 0.0000 0.0000
Re 0.2665 0.2665 0.8550
Se 0.5380 0.5380 0.6494
Se 0.7350 0.7350 0.1551

=====

Entry 2:
Entry from Alexandria: a geometry-optimized FeReSe2 structure (PBE).

Computed properties:
Space-group type: F-43m

Lattice parameters (Å, degrees): 4.4902 4.4902 4.4902 60.00 60.00 60.00
Element x y z (fractional)
Fe 0.0000 0.0000 0.0000
Re 0.2500 0.2500 0.2500
Se 0.5000 0.5000 0.5000
Se 0.7500 0.7500 0.7500

=====

Entry 3:
Entry from Alexandria: a geometry-optimized FeReSe2 structure (PBE).

Computed properties:
Space-group type: C2/m

Lattice parameters (Å, degrees): 5.1705 5.1705 2.6465 90.28 90.28 106.44
Element x y z (fractional)
Fe 0.0000 0.0000 0.0000
Re 0.5000 0.5000 0.0000
Se 0.0000 0.5000 0.0000
Se 0.5000 0.0000 0.0000

=====

Entry 4:
Entry from Alexandria: a geometry-optimized FeRe4Se structure (PBE).

Computed properties:
Space-group type: F-43m

Lattice parameters (Å, degrees): 5.2080 5.2080 5.2080 60.00 60.00 60.00
Element x y z (fractional)
Fe 0.0000 0.0000 0.0000
Re 0.1251 0.6250 0.6250
Re 0.6250 0.1251 0.6250
Re 0.6250 0.6250 0.1251
Re 0.6250 0.6250 0.6250
Se 0.2500 0.2500 0.2500

=====

Entry 5:
Entry from Alexandria: a geometry-optimized FeReSe2 structure (PBE).

Computed properties:
Space-group type: Pmmm

Lattice parameters (Å, degrees): 3.0319 3.9787 5.6466 90.00 90.00 90.00
Element x y z (fractional)
Fe 0.0000 0.0000 0.0000
Re 0.5000 0.0000 0.5000
Se 0.0000 0.5000 0.5000
Se 0.5000 0.5000 0.0000

=====

Entry 6:
Entry from Alexandria: a geometry-optimized FeReSe2 structure (PBE).

Computed properties:
Space-group type: R-3m

Lattice parameters (Å, degrees): 7.7456 7.7456 7.7456 23.04 23.04 23.04
Element x y z (fractional)
Fe 0.0000 0.0000 0.0000
Re 0.5000 0.5000 0.5000
Se 0.2507 0.2507 0.2507
Se 0.7493 0.7493 0.7493

=====

Entry 7:
Entry from Alexandria: a geometry-optimized FeReSe2 structure (PBE).

Computed properties:
Space-group type: P2/m

Lattice parameters (Å, degrees): 2.7250 4.1082 6.0548 90.00 95.23 90.00
Element x y z (fractional)
Fe 0.0000 0.0000 0.0000
Re 0.0000 0.0000 0.5000
Se 0.1719 0.5000 0.7523
Se 0.8281 0.5000 0.2477

=====

Entry 8:
Entry from Alexandria: a geometry-optimized TiFeReSe2 structure (PBE).

Computed properties:
Space-group type: P4/mmm

Lattice parameters (Å, degrees): 4.5511 4.5511 4.4557 90.00 90.00 90.00
Element x y z (fractional)
Ti 0.0000 0.0000 0.0000
Fe 0.5000 0.5000 0.5000
Re 0.5000 0.5000 0.0000
Se 0.0000 0.5000 0.5000
Se 0.5000 0.0000 0.5000

=====

Number 1: DOS at the Fermi energy 0.557 states/eV/atom, uncorrected formation energy 0.2358 eV per atom. Number 2: DOS at the Fermi energy 1.156 states/eV/atom, uncorrected formation energy 0.9744 eV per atom. Number 3: DOS at the Fermi energy 1.134 states/eV/atom, uncorrected formation energy 0.7115 eV per atom. Number 4: DOS at the Fermi energy 1.132 states/eV/atom, uncorrected formation energy 0.8882 eV per atom. Number 5: DOS at the Fermi energy 1.148 states/eV/atom, uncorrected formation energy 0.8156 eV per atom. Number 6: DOS at the Fermi energy 0.910 states/eV/atom, uncorrected formation energy 0.3450 eV per atom. Number 7: DOS at the Fermi energy 1.113 states/eV/atom, uncorrected formation energy 0.6629 eV per atom. Number 8: DOS at the Fermi energy 1.409 states/eV/atom, uncorrected formation energy 0.8739 eV per atom.